KCuSbSe2: optimized geometry, PBE-GGA.

Lattice parameters (Å, degrees): 7.733 4.086 8.728 90.00 94.61 90.00
Element x y z (fractional)
K: 0.000 0.095 0.250
K: 0.000 0.905 0.750
Cu: 0.500 0.000 0.000
Cu: 0.500 0.000 0.500
Sb: 0.500 0.490 0.750
Sb: 0.500 0.510 0.250
Se: 0.259 0.374 0.984
Se: 0.259 0.626 0.484
Se: 0.741 0.374 0.516
Se: 0.741 0.626 0.016

Properties
As for the uncorrected energy: -3.659 eV/atom. The energy relative to the elements, uncorrected comes out at -402 meV/atom.